Entry 1:
VASP calculation (PBE) on an optimized crystal structure of SrHoOs.

Cell and atoms, written as extended XYZ:
```
12
Lattice="6.9141 0.0000 0.0000 0.0000 6.9141 0.0000 0.0000 0.0000 6.9141" Properties=species:S:1:pos:R:3 pbc="T T T"
Sr 0.0000 0.0000 0.0000
Sr 0.0000 3.4571 3.4571
Sr 3.4571 0.0000 3.4571
Sr 3.4571 3.4571 0.0000
Ho 0.0000 0.0000 3.4571
Ho 0.0000 3.4571 0.0000
Ho 3.4571 0.0000 0.0000
Ho 3.4571 3.4571 3.4571
Os 1.7285 1.7285 5.1856
Os 1.7285 5.1856 1.7285
Os 5.1856 1.7285 1.7285
Os 5.1856 5.1856 5.1856
```

## Properties
The density comes out at 8.9 g/cm3. As for the crystal system: cubic. The value obtained for the total energy is -5.482 eV per atom. Its offset from the most stable computed form is 0.00 eV/f.u.

Entry 2:
VASP calculation (PBE) on an optimized crystal structure of Cu15Pb.

Cell and atoms, written as extended XYZ:
```
32
Lattice="4.4004 0.0000 0.0000 0.0000 34.0466 0.0000 -1.4195 0.0000 4.1633" Properties=species:S:1:pos:R:3 pbc="T T T"
Cu -0.3549 0.6276 1.0408
Cu -1.0646 1.9003 3.1224
Cu -0.3549 3.1722 1.0408
Cu -1.0646 4.4449 3.1224
Cu -0.3549 5.7360 1.0408
Cu -1.0646 6.9965 3.1224
Cu -0.3549 8.3020 1.0408
Cu -1.0646 9.5073 3.1224
Cu -0.3549 24.5393 1.0408
Cu -1.0646 25.7446 3.1224
Cu -0.3549 27.0501 1.0408
Cu -1.0646 28.3106 3.1224
Cu -0.3549 29.6017 1.0408
Cu -1.0646 30.8744 3.1224
Cu -0.3549 32.1463 1.0408
Cu -1.0646 33.4190 3.1224
Cu 1.1356 0.6303 3.1224
Cu 1.8453 1.9108 1.0408
Cu 1.1356 3.1785 3.1224
Cu 1.8453 4.4702 1.0408
Cu 1.1356 5.7400 3.1224
Cu 1.8453 7.0437 1.0408
Cu 1.1356 8.3037 3.1224
Cu 1.8453 25.7429 1.0408
Cu 1.1356 27.0029 3.1224
Cu 1.8453 28.3066 1.0408
Cu 1.1356 29.5764 3.1224
Cu 1.8453 30.8681 1.0408
Cu 1.1356 32.1358 3.1224
Cu 1.8453 33.4164 1.0408
Pb 1.8453 10.2617 1.0408
Pb 1.1356 23.7850 3.1224
```

## Properties
The density comes out at 6.2 g/cm3. As for the crystal system: monoclinic. The value obtained for the total energy is -3.653 eV per atom. Its offset from the most stable computed form is 0.28 eV/f.u.